A plane-wave DFT calculation with PBE was carried out for crystalline Er5Tm2Mg5 at its relaxed geometry.

a = 12.036 Å, b = 5.229 Å, c = 11.204 Å
α = 90.00°, β = 110.16°, γ = 90.00°
Space group C2/m (No. 12)
Unique sites:
Er 0.000 0.000 0.000
Er 0.103 0.000 0.754
Er 0.158 0.000 0.483
Tm 0.089 0.500 0.242
Mg 0.000 0.500 0.500
Mg 0.172 0.500 0.977
Mg 0.244 0.500 0.740

Total magnetic moment ... 0.00 μB/cell
Mass density ... 6.50 g/cm³
D(E_F) ... 27.34 states/eV per cell
Calculated volume ... 662 Å³/cell
Formation enthalpy at 0 K ... 0.0155 eV/atom